(1)
# PBE DyZnO, optimized geometry
# - Formation energy without anion corrections: -44.29 kcal/mol of atoms
data_DyZnO
_chemical_formula_sum 'Dy2 Zn2 O2'
_space_group_name_H-M_alt 'P 4/n m m'
_space_group_IT_number 129
_cell_length_a 3.2644
_cell_length_b 3.2644
_cell_length_c 8.9057
_cell_angle_alpha 90.00
_cell_angle_beta 90.00
_cell_angle_gamma 90.00
loop_
_space_group_symop_operation_xyz
'x,y,z'
'-x,-y,-z'
'-y+1/2,x,z'
'y+1/2,-x,-z'
'-x+1/2,-y+1/2,z'
'x+1/2,y+1/2,-z'
'y,-x+1/2,z'
'-y,x+1/2,-z'
'x+1/2,-y,-z'
'-x+1/2,y,z'
'-y,-x,-z'
'y,x,z'
'-x,y+1/2,-z'
'x,-y+1/2,z'
'y+1/2,x+1/2,-z'
'-y+1/2,-x+1/2,z'
loop_
_atom_site_label
_atom_site_type_symbol
_atom_site_fract_x
_atom_site_fract_y
_atom_site_fract_z
_atom_site_occupancy
Dy1 Dy 0.2500 0.2500 0.1611 1
Zn1 Zn 0.2500 0.2500 0.5662 1
O1 O 0.2500 0.2500 0.9006 1

=====

(2)
# PBE ReAsPO2, optimized geometry
# - Formation energy without anion corrections: -11.83 kcal/mol of atoms
data_ReAsPO2
_chemical_formula_sum 'Re1 As1 P1 O2'
_space_group_name_H-M_alt 'P 4/m m m'
_space_group_IT_number 123
_space_group_name_Hall '-P 4 2'
_cell_length_a 3.7657
_cell_length_b 3.7657
_cell_length_c 5.3553
_cell_angle_alpha 90.00
_cell_angle_beta 90.00
_cell_angle_gamma 90.00
loop_
_atom_site_label
_atom_site_type_symbol
_atom_site_fract_x
_atom_site_fract_y
_atom_site_fract_z
_atom_site_occupancy
Re1 Re 0.0000 0.0000 0.0000 1
As1 As 0.5000 0.5000 0.5000 1
P1 P 0.0000 0.0000 0.5000 1
O1 O 0.0000 0.5000 0.0000 1

=====

(3)
# PBE Zr3HgN, optimized geometry
# - Formation energy without anion corrections: -0.92 kcal/mol of atoms
data_Zr3HgN
_chemical_formula_sum 'Zr6 Hg2 N2'
_space_group_name_H-M_alt 'A m m 2'
_space_group_IT_number 38
_cell_length_a 3.1279
_cell_length_b 6.2760
_cell_length_c 14.6515
_cell_angle_alpha 90.00
_cell_angle_beta 90.00
_cell_angle_gamma 90.00
loop_
_space_group_symop_operation_xyz
'x,y,z'
'-x,-y,z'
'-x,y,z'
'x,-y,z'
'x,y+1/2,z+1/2'
'-x,-y+1/2,z+1/2'
'-x,y+1/2,z+1/2'
'x,-y+1/2,z+1/2'
loop_
_atom_site_label
_atom_site_type_symbol
_atom_site_fract_x
_atom_site_fract_y
_atom_site_fract_z
_atom_site_occupancy
Zr1 Zr 0.0000 0.0000 0.0000 1
Zr2 Zr 0.5000 0.2376 0.8483 1
Hg1 Hg 0.5000 0.0000 0.1765 1
N1 N 0.0000 0.0000 0.8380 1

=====

(4)
# PBE PuCd2Au9, optimized geometry
# - ΔE_f: -0.15 eV/atom
data_PuCd2Au9
_chemical_formula_sum 'Pu3 Cd6 Au27'
_space_group_name_H-M_alt 'R -3 m'
_space_group_IT_number 166
_space_group_name_Hall '-R 3 2"'
_cell_length_a 5.6091
_cell_length_b 5.6091
_cell_length_c 27.4898
_cell_angle_alpha 90.00
_cell_angle_beta 90.00
_cell_angle_gamma 120.00
loop_
_atom_site_label
_atom_site_type_symbol
_atom_site_fract_x
_atom_site_fract_y
_atom_site_fract_z
_atom_site_occupancy
Pu1 Pu 0.0000 0.0000 0.0000 1
Cd1 Cd 0.0000 0.0000 0.1430 1
Au1 Au 0.0000 0.0000 0.3332 1
Au2 Au 0.0000 0.0000 0.5000 1
Au3 Au 0.0042 0.5021 0.9145 1

=====

(5)
# PBE KFePb, optimized geometry
# - ΔE_f: 0.49 eV/atom
data_KFePb
_chemical_formula_sum 'K2 Fe2 Pb2'
_space_group_name_H-M_alt 'I 4 m m'
_space_group_IT_number 107
_space_group_name_Hall 'I 4 -2'
_cell_length_a 3.7627
_cell_length_b 3.7627
_cell_length_c 12.7135
_cell_angle_alpha 90.00
_cell_angle_beta 90.00
_cell_angle_gamma 90.00
loop_
_atom_site_label
_atom_site_type_symbol
_atom_site_fract_x
_atom_site_fract_y
_atom_site_fract_z
_atom_site_occupancy
K1 K 0.0000 0.0000 0.0000 1
Fe1 Fe 0.0000 0.0000 0.2758 1
Pb1 Pb 0.0000 0.0000 0.7184 1

=====

(6)
# PBE Tb3ScTe6, optimized geometry
# - Formation energy without anion corrections: -30.13 kcal/mol of atoms
data_Tb3ScTe6
_chemical_formula_sum 'Tb18 Sc6 Te36'
_space_group_name_H-M_alt 'R -3'
_space_group_IT_number 148
_space_group_name_Hall '-R 3'
_cell_length_a 12.6590
_cell_length_b 12.6590
_cell_length_c 15.3384
_cell_angle_alpha 90.00
_cell_angle_beta 90.00
_cell_angle_gamma 120.00
loop_
_atom_site_label
_atom_site_type_symbol
_atom_site_fract_x
_atom_site_fract_y
_atom_site_fract_z
_atom_site_occupancy
Tb1 Tb 0.0575 0.2753 0.1999 1
Sc1 Sc 0.0000 0.0000 0.0000 1
Sc2 Sc 0.0000 0.0000 0.5000 1
Te1 Te 0.0150 0.2015 0.3947 1
Te2 Te 0.0347 0.1946 0.8824 1

=====

(7)
# PBE BeTe2P, optimized geometry
# - Formation energy without anion corrections: 17.07 kcal/mol of atoms
data_BeTe2P
_chemical_formula_sum 'Be4 Te8 P4'
_space_group_name_H-M_alt 'F m -3 m'
_space_group_IT_number 225
_space_group_name_Hall '-F 4 2 3'
_cell_length_a 6.8444
_cell_length_b 6.8444
_cell_length_c 6.8444
_cell_angle_alpha 90.00
_cell_angle_beta 90.00
_cell_angle_gamma 90.00
loop_
_atom_site_label
_atom_site_type_symbol
_atom_site_fract_x
_atom_site_fract_y
_atom_site_fract_z
_atom_site_occupancy
Be1 Be 0.0000 0.0000 0.0000 1
Te1 Te 0.2500 0.2500 0.2500 1
P1 P 0.0000 0.0000 0.5000 1

=====

(8)
# PBE Tc2AgIr, optimized geometry
# - ΔE_f: 0.28 eV/atom
data_Tc2AgIr
_chemical_formula_sum 'Tc4 Ag2 Ir2'
_space_group_name_H-M_alt 'C 1 m 1'
_space_group_IT_number 8
_cell_length_a 9.2642
_cell_length_b 2.7244
_cell_length_c 4.8858
_cell_angle_alpha 90.00
_cell_angle_beta 99.42
_cell_angle_gamma 90.00
loop_
_space_group_symop_operation_xyz
'x,y,z'
'x,-y,z'
'x+1/2,y+1/2,z'
'x+1/2,-y+1/2,z'
loop_
_atom_site_label
_atom_site_type_symbol
_atom_site_fract_x
_atom_site_fract_y
_atom_site_fract_z
_atom_site_occupancy
Tc1 Tc 0.0000 0.0000 0.0000 1
Tc2 Tc 0.2488 0.5000 0.2300 1
Ag1 Ag 0.0071 0.5000 0.5002 1
Ir1 Ir 0.2662 0.0000 0.7657 1

=====

(9)
# PBE HfSc3Bi, optimized geometry
# - ΔE_f: 0.61 eV/atom
data_HfSc3Bi
_chemical_formula_sum 'Hf1 Sc3 Bi1'
_space_group_name_H-M_alt 'P m -3 m'
_space_group_IT_number 221
_space_group_name_Hall '-P 4 2 3'
_cell_length_a 5.2204
_cell_length_b 5.2204
_cell_length_c 5.2204
_cell_angle_alpha 90.00
_cell_angle_beta 90.00
_cell_angle_gamma 90.00
loop_
_atom_site_label
_atom_site_type_symbol
_atom_site_fract_x
_atom_site_fract_y
_atom_site_fract_z
_atom_site_occupancy
Hf1 Hf 0.0000 0.0000 0.0000 1
Sc1 Sc 0.0000 0.0000 0.5000 1
Bi1 Bi 0.5000 0.5000 0.5000 1

=====

(10)
# PBE ZrSnMo, optimized geometry
# - ΔE_f: -0.18 eV/atom
data_ZrSnMo
_chemical_formula_sum 'Zr2 Sn2 Mo2'
_space_group_name_H-M_alt 'I 4 m m'
_space_group_IT_number 107
_space_group_name_Hall 'I 4 -2'
_cell_length_a 3.5753
_cell_length_b 3.5753
_cell_length_c 9.2895
_cell_angle_alpha 90.00
_cell_angle_beta 90.00
_cell_angle_gamma 90.00
loop_
_atom_site_label
_atom_site_type_symbol
_atom_site_fract_x
_atom_site_fract_y
_atom_site_fract_z
_atom_site_occupancy
Zr1 Zr 0.0000 0.0000 0.0000 1
Sn1 Sn 0.0000 0.0000 0.3176 1
Mo1 Mo 0.0000 0.0000 0.6553 1